Record 1
# TaMoN2F, relaxed, DFT PBE+U
data_TaMoN2F
_cell_length_a 4.072
_cell_length_b 4.072
_cell_length_c 3.896
_cell_angle_alpha 90.00
_cell_angle_beta 90.00
_cell_angle_gamma 90.00
_space_group_name_H-M_alt 'P 1'
_space_group_IT_number 1
loop_
_space_group_symop_operation_xyz
'x,y,z'
loop_
_atom_site_label
_atom_site_type_symbol
_atom_site_fract_x
_atom_site_fract_y
_atom_site_fract_z
_atom_site_occupancy
N1 N 0.000 0.500 0.000 1
N2 N 0.500 0.000 0.000 1
Mo1 Mo 0.000 0.000 0.000 1
F1 F 0.000 0.000 0.500 1
Ta1 Ta 0.500 0.500 0.500 1
# Space-group type   P4/mmm (123)
# Total magnetization   2.5 μB per formula unit
# Density of states at the Fermi level   4.94 states/eV per cell
# ΔE to the lowest computed polymorph   950.9 meV per atom


Record 2
# TaMoNF2, relaxed, DFT PBE+U
data_TaMoNF2
_cell_length_a 4.241
_cell_length_b 4.241
_cell_length_c 4.048
_cell_angle_alpha 90.00
_cell_angle_beta 90.00
_cell_angle_gamma 90.00
_space_group_name_H-M_alt 'P 1'
_space_group_IT_number 1
loop_
_space_group_symop_operation_xyz
'x,y,z'
loop_
_atom_site_label
_atom_site_type_symbol
_atom_site_fract_x
_atom_site_fract_y
_atom_site_fract_z
_atom_site_occupancy
N1 N 0.000 0.000 0.500 1
Mo1 Mo 0.500 0.500 0.500 1
F1 F 0.000 0.500 0.000 1
F2 F 0.500 0.000 0.000 1
Ta1 Ta 0.000 0.000 0.000 1
# Space-group type   P4/mmm (123)
# Total magnetization   4.3 μB per formula unit
# Density of states at the Fermi level   1.35 states/eV per cell
# ΔE to the lowest computed polymorph   0.0 meV per atom


Record 3
# TaMoNF2, relaxed, DFT PBE+U
data_TaMoNF2
_cell_length_a 4.061
_cell_length_b 4.061
_cell_length_c 4.513
_cell_angle_alpha 90.00
_cell_angle_beta 90.00
_cell_angle_gamma 90.00
_space_group_name_H-M_alt 'P 1'
_space_group_IT_number 1
loop_
_space_group_symop_operation_xyz
'x,y,z'
loop_
_atom_site_label
_atom_site_type_symbol
_atom_site_fract_x
_atom_site_fract_y
_atom_site_fract_z
_atom_site_occupancy
N1 N 0.000 0.000 0.500 1
Mo1 Mo 0.000 0.000 0.000 1
F1 F 0.000 0.500 0.000 1
F2 F 0.500 0.000 0.000 1
Ta1 Ta 0.500 0.500 0.500 1
# Space-group type   P4/mmm (123)
# Total magnetization   5.9 μB per formula unit
# Density of states at the Fermi level   6.04 states/eV per cell
# ΔE to the lowest computed polymorph   882.8 meV per atom


Record 4
# TcMoN2F, relaxed, DFT PBE+U
data_TcMoN2F
_cell_length_a 3.930
_cell_length_b 3.930
_cell_length_c 4.104
_cell_angle_alpha 90.00
_cell_angle_beta 90.00
_cell_angle_gamma 90.00
_space_group_name_H-M_alt 'P 1'
_space_group_IT_number 1
loop_
_space_group_symop_operation_xyz
'x,y,z'
loop_
_atom_site_label
_atom_site_type_symbol
_atom_site_fract_x
_atom_site_fract_y
_atom_site_fract_z
_atom_site_occupancy
Mo1 Mo 0.500 0.500 0.500 1
N1 N 0.000 0.500 0.000 1
N2 N 0.500 0.000 0.000 1
Tc1 Tc 0.000 0.000 0.000 1
F1 F 0.000 0.000 0.500 1
# Space-group type   P4/mmm (123)
# Total magnetization   3.8 μB per formula unit
# Density of states at the Fermi level   2.49 states/eV per cell
# ΔE to the lowest computed polymorph   0.0 meV per atom


Record 5
# TcMoNF2, relaxed, DFT PBE+U
data_TcMoNF2
_cell_length_a 4.255
_cell_length_b 3.838
_cell_length_c 4.255
_cell_angle_alpha 90.00
_cell_angle_beta 90.00
_cell_angle_gamma 90.00
_space_group_name_H-M_alt 'P 1'
_space_group_IT_number 1
loop_
_space_group_symop_operation_xyz
'x,y,z'
loop_
_atom_site_label
_atom_site_type_symbol
_atom_site_fract_x
_atom_site_fract_y
_atom_site_fract_z
_atom_site_occupancy
Mo1 Mo 0.500 0.500 0.500 1
N1 N 0.000 0.500 0.000 1
Tc1 Tc 0.000 0.000 0.000 1
F1 F 0.000 0.000 0.500 1
F2 F 0.500 0.000 0.000 1
# Energy   -31.05 eV per cell
# Space-group type   P4/mmm (123)
# Total magnetization   4.9 μB per formula unit
# Density of states at the Fermi level   2.82 states/eV per cell


Record 6
# Tc2MoNF, relaxed, DFT PBE+U
data_Tc2MoNF
_cell_length_a 4.813
_cell_length_b 3.978
_cell_length_c 4.813
_cell_angle_alpha 90.00
_cell_angle_beta 90.00
_cell_angle_gamma 90.00
_space_group_name_H-M_alt 'P 1'
_space_group_IT_number 1
loop_
_space_group_symop_operation_xyz
'x,y,z'
loop_
_atom_site_label
_atom_site_type_symbol
_atom_site_fract_x
_atom_site_fract_y
_atom_site_fract_z
_atom_site_occupancy
Mo1 Mo 0.000 0.000 0.000 1
N1 N 0.500 0.500 0.500 1
Tc1 Tc 0.000 0.000 0.500 1
Tc2 Tc 0.500 0.000 0.000 1
F1 F 0.000 0.500 0.000 1
# Energy   -28.31 eV per cell
# Space-group type   P4/mmm (123)
# Total magnetization   2.6 μB per formula unit
# Density of states at the Fermi level   4.45 states/eV per cell


Record 7
# TcMoN2F, relaxed, DFT PBE+U
data_TcMoN2F
_cell_length_a 4.046
_cell_length_b 4.046
_cell_length_c 4.071
_cell_angle_alpha 90.00
_cell_angle_beta 90.00
_cell_angle_gamma 90.00
_space_group_name_H-M_alt 'P 1'
_space_group_IT_number 1
loop_
_space_group_symop_operation_xyz
'x,y,z'
loop_
_atom_site_label
_atom_site_type_symbol
_atom_site_fract_x
_atom_site_fract_y
_atom_site_fract_z
_atom_site_occupancy
Mo1 Mo 0.000 0.000 0.000 1
N1 N 0.000 0.500 0.000 1
N2 N 0.500 0.000 0.000 1
Tc1 Tc 0.500 0.500 0.500 1
F1 F 0.000 0.000 0.500 1
# Space-group type   P4/mmm (123)
# Total magnetization   5.5 μB per formula unit
# Density of states at the Fermi level   2.35 states/eV per cell
# ΔE to the lowest computed polymorph   334.0 meV per atom


Record 8
# TiMoN2F, relaxed, DFT PBE+U
data_TiMoN2F
_cell_length_a 4.004
_cell_length_b 4.004
_cell_length_c 3.786
_cell_angle_alpha 90.00
_cell_angle_beta 90.00
_cell_angle_gamma 90.00
_space_group_name_H-M_alt 'P 1'
_space_group_IT_number 1
loop_
_space_group_symop_operation_xyz
'x,y,z'
loop_
_atom_site_label
_atom_site_type_symbol
_atom_site_fract_x
_atom_site_fract_y
_atom_site_fract_z
_atom_site_occupancy
N1 N 0.000 0.500 0.000 1
N2 N 0.500 0.000 0.000 1
Mo1 Mo 0.500 0.500 0.500 1
F1 F 0.000 0.000 0.500 1
Ti1 Ti 0.000 0.000 0.000 1
# Space-group type   P4/mmm (123)
# Total magnetization   3.0 μB per formula unit
# Density of states at the Fermi level   1.25 states/eV per cell
# ΔE to the lowest computed polymorph   0.0 meV per atom